Record 1
# TaHgAs2

A relaxed TaHgAs2 crystal (GGA-PBE, Alexandria via LeMat-Bulk).

Its crystal system is trigonal. As for the formation energy: 108 kJ/mol of formula units. The total magnetization comes out at 0.006 μB per formula unit. The value obtained for the calculated total energy is -5.083 eV/atom.

The structure belongs to space group R3m (No. 160, hexagonal axes); the cell edges are 3.0391, 3.0391 and 31.7028 Å and the angles 90.00°, 90.00° and 120.00°. The inequivalent atoms are Ta at (0.0000, 0.0000, 0.0000), Hg at (0.0000, 0.0000, 0.2556), As at (0.0000, 0.0000, 0.5128) and As at (0.0000, 0.0000, 0.7343).

Record 2
# Sm2AlZn2Pd5

A relaxed Sm2AlZn2Pd5 crystal (GGA-PBE, Alexandria via LeMat-Bulk).

Its crystal system is tetragonal. As for the formation energy: -675 kJ/mol of formula units. The total magnetization comes out at 0.000 μB per formula unit. The value obtained for the calculated total energy is -4.869 eV/atom.

The structure belongs to space group P4/mbm (No. 127); the cell edges are 9.892, 9.892 and 3.672 Å and the angles 90.00°, 90.00° and 90.00°. The inequivalent atoms are Sm at (0.176, 0.324, 0.000), Al at (0.000, 0.000, 0.000), Zn at (0.123, 0.623, 0.000), Pd at (0.000, 0.500, 0.500) and Pd at (0.060, 0.800, 0.500).

Record 3
# HfV3Ni

A relaxed HfV3Ni crystal (GGA-PBE, Alexandria via LeMat-Bulk).

Its crystal system is cubic. As for the formation energy: 917 kJ/mol of formula units. The energy above the lowest structure with this stoichiometry is 1.189 eV/atom. The total magnetization comes out at 3.946 μB per formula unit. The value obtained for the calculated total energy is -6.718 eV/atom.

The structure belongs to space group Pm-3m (No. 221); the cell edges are 4.612, 4.612 and 4.612 Å and the angles 90.00°, 90.00° and 90.00°. The inequivalent atoms are Hf at (0.000, 0.000, 0.000), V at (0.000, 0.000, 0.500) and Ni at (0.500, 0.500, 0.500).